Record 1
An optimized crystal structure of LaNdBr3N. Source: OQMD via LeMat-Bulk, functional PBE.

## Properties
The energy relative to the lowest polymorph listed for this composition comes out at 0.021 eV per atom. The magnetic moment is 0.0 μB per formula unit.

Geometry as CIF:
```
data_LaNdBr3N
_symmetry_space_group_name_H-M 'C 1 2/m 1'
_symmetry_Int_Tables_number 12
_cell_length_a 17.6295
_cell_length_b 4.0922
_cell_length_c 11.5125
_cell_angle_alpha 90.00
_cell_angle_beta 121.43
_cell_angle_gamma 90.00
loop_
_symmetry_equiv_pos_as_xyz
'x,y,z'
'-x,-y,-z'
'-x,y,-z'
'x,-y,z'
'x+1/2,y+1/2,z'
'-x+1/2,-y+1/2,-z'
'-x+1/2,y+1/2,-z'
'x+1/2,-y+1/2,z'
loop_
_atom_site_label
_atom_site_fract_x
_atom_site_fract_y
_atom_site_fract_z
La1 0.0825 0.0000 0.4535
Nd1 0.1365 0.5000 0.7866
Br1 0.0413 0.5000 0.2338
Br2 0.1642 0.0000 0.0101
Br3 0.2278 0.5000 0.6231
N1 0.0736 0.0000 0.6512
```



Record 2
An optimized crystal structure of Co7Hg2. Source: OQMD via LeMat-Bulk, functional PBE.

## Properties
The calculated formation energy comes out at 0.36 eV per atom. The magnetic moment is 11.8 μB per formula unit.

Geometry as CIF:
```
data_Co7Hg2
_symmetry_space_group_name_H-M 'P -3 m 1'
_symmetry_Int_Tables_number 164
_symmetry_space_group_name_Hall '-P 3 2"'
_cell_length_a 2.6611
_cell_length_b 2.6611
_cell_length_c 30.8197
_cell_angle_alpha 90.00
_cell_angle_beta 90.00
_cell_angle_gamma 120.00
loop_
_atom_site_label
_atom_site_fract_x
_atom_site_fract_y
_atom_site_fract_z
Co1 0.0000 0.0000 0.0000
Co2 0.0000 0.0000 0.1875
Co3 0.3333 0.6667 0.1269
Co4 0.3333 0.6667 0.9369
Hg1 0.3333 0.6667 0.7314
```



Record 3
An optimized crystal structure of TmLu2In3CuPt2. Source: OQMD via LeMat-Bulk, functional PBE.

## Properties
The final energy comes out at -5.008 eV/atom. The magnetic moment is 0.0 μB per formula unit.

Geometry as CIF:
```
data_TmLu2In3CuPt2
_symmetry_space_group_name_H-M 'A m m 2'
_symmetry_Int_Tables_number 38
_cell_length_a 3.6384
_cell_length_b 13.3625
_cell_length_c 7.7020
_cell_angle_alpha 90.00
_cell_angle_beta 90.00
_cell_angle_gamma 90.00
loop_
_symmetry_equiv_pos_as_xyz
'x,y,z'
'-x,-y,z'
'-x,y,z'
'x,-y,z'
'x,y+1/2,z+1/2'
'-x,-y+1/2,z+1/2'
'-x,y+1/2,z+1/2'
'x,-y+1/2,z+1/2'
loop_
_atom_site_label
_atom_site_fract_x
_atom_site_fract_y
_atom_site_fract_z
Tm1 0.0000 0.0000 0.0000
Lu1 0.0000 0.2047 0.6141
In1 0.5000 0.0000 0.6669
In2 0.5000 0.1289 0.2809
Cu1 0.0000 0.0000 0.4096
Pt1 0.5000 0.1675 0.9090
```



Record 4
An optimized crystal structure of NpBr2Cl2. Source: OQMD via LeMat-Bulk, functional PBE.

## Properties
The final energy comes out at -5.379 eV/atom. The magnetic moment is 3.0 μB per formula unit.

Geometry as CIF:
```
data_NpBr2Cl2
_symmetry_space_group_name_H-M 'C 1 2/m 1'
_symmetry_Int_Tables_number 12
_cell_length_a 12.7633
_cell_length_b 8.3628
_cell_length_c 8.7531
_cell_angle_alpha 90.00
_cell_angle_beta 132.31
_cell_angle_gamma 90.00
loop_
_symmetry_equiv_pos_as_xyz
'x,y,z'
'-x,-y,-z'
'-x,y,-z'
'x,-y,z'
'x+1/2,y+1/2,z'
'-x+1/2,-y+1/2,-z'
'-x+1/2,y+1/2,-z'
'x+1/2,-y+1/2,z'
loop_
_atom_site_label
_atom_site_fract_x
_atom_site_fract_y
_atom_site_fract_z
Np1 0.0000 0.2485 0.0000
Br1 0.2023 0.5000 0.1803
Br2 0.2052 0.0000 0.1833
Cl1 0.0203 0.2450 0.3039
```



Record 5
An optimized crystal structure of BeNiIr. Source: OQMD via LeMat-Bulk, functional PBE.

## Properties
The energy relative to the lowest polymorph listed for this composition comes out at 0.410 eV per atom. The magnetic moment is 1.3 μB per formula unit.

Geometry as CIF:
```
data_BeNiIr
_symmetry_space_group_name_H-M 'F -4 3 m'
_symmetry_Int_Tables_number 216
_symmetry_space_group_name_Hall 'F -4 2 3'
_cell_length_a 5.4949
_cell_length_b 5.4949
_cell_length_c 5.4949
_cell_angle_alpha 90.00
_cell_angle_beta 90.00
_cell_angle_gamma 90.00
loop_
_atom_site_label
_atom_site_fract_x
_atom_site_fract_y
_atom_site_fract_z
Be1 0.0000 0.0000 0.0000
Ni1 0.0000 0.0000 0.5000
Ir1 0.2500 0.2500 0.2500
```



Record 6
An optimized crystal structure of MgTc2O8. Source: OQMD via LeMat-Bulk, functional PBE.

## Properties
The final energy comes out at -7.277 eV/atom. The magnetic moment is 0.0 μB per formula unit.

Geometry as CIF:
```
data_MgTc2O8
_symmetry_space_group_name_H-M 'P -3'
_symmetry_Int_Tables_number 147
_cell_length_a 5.6808
_cell_length_b 5.6808
_cell_length_c 5.8994
_cell_angle_alpha 90.00
_cell_angle_beta 90.00
_cell_angle_gamma 120.00
loop_
_symmetry_equiv_pos_as_xyz
'x,y,z'
'-x,-y,-z'
'-y,x-y,z'
'y,-x+y,-z'
'-x+y,-x,z'
'x-y,x,-z'
loop_
_atom_site_label
_atom_site_fract_x
_atom_site_fract_y
_atom_site_fract_z
Mg1 0.0000 0.0000 0.0000
Tc1 0.3333 0.6667 0.2930
O1 0.1300 0.3353 0.1973
O2 0.3333 0.6667 0.5834
```



Record 7
An optimized crystal structure of ZnCd. Source: OQMD via LeMat-Bulk, functional PBE.

## Properties
The calculated formation energy comes out at 0.06 eV per atom.

Geometry as CIF:
```
data_ZnCd
_symmetry_space_group_name_H-M 'P b c a'
_symmetry_Int_Tables_number 61
_cell_length_a 5.2685
_cell_length_b 9.4181
_cell_length_c 6.1887
_cell_angle_alpha 90.00
_cell_angle_beta 90.00
_cell_angle_gamma 90.00
loop_
_symmetry_equiv_pos_as_xyz
'x,y,z'
'-x,-y,-z'
'-x+1/2,-y,z+1/2'
'x+1/2,y,-z+1/2'
'x+1/2,-y+1/2,-z'
'-x+1/2,y+1/2,z'
'-x,y+1/2,-z+1/2'
'x,-y+1/2,z+1/2'
loop_
_atom_site_label
_atom_site_fract_x
_atom_site_fract_y
_atom_site_fract_z
Zn1 0.0009 0.0505 0.2462
Cd1 0.2467 0.6948 0.8856
```